! Ni2GeB2O6 (PBE with a Hubbard U, relaxed); values from VASP
! * E_tot: -6.302 eV per atom
&SYSTEM
  ibrav = 0, nat = 11, ntyp = 4
/
ATOMIC_SPECIES
Ni 58.69 Ni.upf
Ge 72.64 Ge.upf
B 10.81 B.upf
O 16.00 O.upf
CELL_PARAMETERS angstrom
5.048 0.000 0.000
-2.524 4.372 0.000
0.000 0.000 5.941
ATOMIC_POSITIONS crystal
Ni 0.333 0.667 0.331
Ni 0.667 0.333 0.669
Ge 0.000 0.000 0.000
B 0.333 0.667 0.762
B 0.667 0.333 0.238
O 0.058 0.664 0.757
O 0.336 0.394 0.757
O 0.394 0.058 0.243
O 0.606 0.942 0.757
O 0.664 0.606 0.243
O 0.942 0.336 0.243